Record 1
Below is Mg2AlHPt6 after structural relaxation, with properties calculated at the PBE-GGA level.

For the volume, the calculation gives 15.7 A^3/atom. For the total magnetic moment, the calculation gives 0.0 μB per formula unit. The calculation puts the total energy at -5.15 eV/atom.

It has space group P-1 (No. 2), with a = 5.409 Å, b = 5.410 Å, c = 6.725 Å, α = 68.32°, β = 68.82° and γ = 61.91°. The inequivalent atoms are Mg at (0.237, 0.243, 0.192), Al at (0.000, 0.000, 0.000), H at (0.500, 0.500, 0.500), Pt at (0.175, 0.686, 0.344), Pt at (0.290, 0.285, 0.754) and Pt at (0.314, 0.822, 0.659).

=====

Record 2
Below is Hf7In2Ge2 after structural relaxation, with properties calculated at the PBE-GGA level.

For the volume, the calculation gives 23.1 A^3/atom. For the total magnetic moment, the calculation gives 0.0 μB per formula unit. The calculation puts the total energy at -7.64 eV/atom.

It has space group Cmmm (No. 65), with a = 7.986 Å, b = 9.905 Å, c = 6.412 Å, α = 90.00°, β = 90.00° and γ = 90.00°. The inequivalent atoms are Hf at (0.000, 0.000, 0.000), Hf at (0.000, 0.500, 0.257), Hf at (0.250, 0.250, 0.262), In at (0.175, 0.000, 0.500) and Ge at (0.000, 0.279, 0.000).

=====

Record 3
Below is TaFe2Se after structural relaxation, with properties calculated at the PBE-GGA level.

For the volume, the calculation gives 14.9 A^3/atom. For the total magnetic moment, the calculation gives 4.3 μB per formula unit. The formation energy from raw total energies is 0.8 eV/f.u.

It has space group Cmmm (No. 65), with a = 5.116 Å, b = 7.356 Å, c = 3.172 Å, α = 90.00°, β = 90.00° and γ = 90.00°. The inequivalent atoms are Ta at (0.000, 0.000, 0.000), Fe at (0.250, 0.250, 0.500) and Se at (0.000, 0.500, 0.000).

=====

Record 4
Below is La4Ag after structural relaxation, with properties calculated at the PBE-GGA level.

For the volume, the calculation gives 33.2 A^3/atom. For the excess energy over the best structure of this formula in the dataset, the calculation gives 3 meV/atom. For the total magnetic moment, the calculation gives 0.0 μB per formula unit.

It has space group Fmmm (No. 69), with a = 5.394 Å, b = 5.408 Å, c = 22.788 Å, α = 90.00°, β = 90.00° and γ = 90.00°. The inequivalent atoms are La at (0.000, 0.000, 0.083), La at (0.000, 0.000, 0.305) and Ag at (0.000, 0.000, 0.500).